# PBE-GGA GaB2Mo3, relaxed
# calculated volume = 12.875 A^3/atom
# energy = -8.430 eV per atom
data_GaB2Mo3
_chemical_formula_sum 'Ga2 B4 Mo6'
_cell_length_a 3.1090
_cell_length_b 3.1090
_cell_length_c 18.4561
_cell_angle_alpha 90.00
_cell_angle_beta 90.00
_cell_angle_gamma 120.00
_space_group_name_H-M_alt 'P 63/m m c'
_space_group_IT_number 194
_space_group_name_Hall '-P 6c 2c'
loop_
_atom_site_label
_atom_site_type_symbol
_atom_site_fract_x
_atom_site_fract_y
_atom_site_fract_z
Ga1 Ga 0.0000 0.0000 0.2500
B1 B 0.3333 0.6667 0.0718
Mo1 Mo 0.0000 0.0000 0.0000
Mo2 Mo 0.3333 0.6667 0.6369



# PBE-GGA BeGaTcW, relaxed
# calculated volume = 13.379 A^3/atom
# energy above the lowest structure with this stoichiometry = 0.2344 eV per atom
# energy = -7.257 eV per atom
data_BeGaTcW
_chemical_formula_sum 'Be4 Ga4 Tc4 W4'
_cell_length_a 5.982
_cell_length_b 5.982
_cell_length_c 5.982
_cell_angle_alpha 90.00
_cell_angle_beta 90.00
_cell_angle_gamma 90.00
_space_group_name_H-M_alt 'F -4 3 m'
_space_group_IT_number 216
_space_group_name_Hall 'F -4 2 3'
loop_
_atom_site_label
_atom_site_type_symbol
_atom_site_fract_x
_atom_site_fract_y
_atom_site_fract_z
Be1 Be 0.000 0.000 0.000
Ga1 Ga 0.000 0.000 0.500
Tc1 Tc 0.250 0.250 0.250
W1 W 0.250 0.250 0.750



# PBE-GGA Tm2ScCu4Ge4, relaxed
# calculated volume = 16.790 A^3/atom
# energy = -5.016 eV per atom
data_Tm2ScCu4Ge4
_chemical_formula_sum 'Tm4 Sc2 Cu8 Ge8'
_cell_length_a 4.129
_cell_length_b 6.539
_cell_length_c 13.679
_cell_angle_alpha 90.00
_cell_angle_beta 90.00
_cell_angle_gamma 90.00
_space_group_name_H-M_alt 'I m m m'
_space_group_IT_number 71
_space_group_name_Hall '-I 2 2'
loop_
_atom_site_label
_atom_site_type_symbol
_atom_site_fract_x
_atom_site_fract_y
_atom_site_fract_z
Tm1 Tm 0.000 0.000 0.129
Sc1 Sc 0.000 0.500 0.000
Cu1 Cu 0.000 0.192 0.329
Ge1 Ge 0.000 0.301 0.500
Ge2 Ge 0.000 0.500 0.214



# PBE-GGA YBeTlFe, relaxed
# calculated volume = 18.054 A^3/atom
# energy above the lowest structure with this stoichiometry = 0.0000 eV per atom
# energy = -4.891 eV per atom
data_YBeTlFe
_chemical_formula_sum 'Y4 Be4 Tl4 Fe4'
_cell_length_a 6.610
_cell_length_b 6.610
_cell_length_c 6.610
_cell_angle_alpha 90.00
_cell_angle_beta 90.00
_cell_angle_gamma 90.00
_space_group_name_H-M_alt 'F -4 3 m'
_space_group_IT_number 216
_space_group_name_Hall 'F -4 2 3'
loop_
_atom_site_label
_atom_site_type_symbol
_atom_site_fract_x
_atom_site_fract_y
_atom_site_fract_z
Y1 Y 0.000 0.000 0.000
Be1 Be 0.250 0.250 0.250
Tl1 Tl 0.000 0.000 0.500
Fe1 Fe 0.250 0.250 0.750



# PBE-GGA Gd2DyNiSn3Pt2, relaxed
# calculated volume = 21.517 A^3/atom
# energy = -5.827 eV per atom
data_Gd2DyNiSn3Pt2
_chemical_formula_sum 'Gd4 Dy2 Ni2 Sn6 Pt4'
_cell_length_a 3.946
_cell_length_b 13.029
_cell_length_c 7.534
_cell_angle_alpha 90.00
_cell_angle_beta 90.00
_cell_angle_gamma 90.00
_space_group_name_H-M_alt 'A m m 2'
_space_group_IT_number 38
loop_
_space_group_symop_operation_xyz
'x,y,z'
'-x,-y,z'
'-x,y,z'
'x,-y,z'
'x,y+1/2,z+1/2'
'-x,-y+1/2,z+1/2'
'-x,y+1/2,z+1/2'
'x,-y+1/2,z+1/2'
loop_
_atom_site_label
_atom_site_type_symbol
_atom_site_fract_x
_atom_site_fract_y
_atom_site_fract_z
Gd1 Gd 0.000 0.203 0.000
Dy1 Dy 0.000 0.000 0.609
Ni1 Ni 0.000 0.000 0.205
Sn1 Sn 0.500 0.000 0.956
Sn2 Sn 0.500 0.124 0.327
Pt1 Pt 0.500 0.165 0.703



# PBE-GGA NaNiBiS3, relaxed
# calculated volume = 22.311 A^3/atom
# energy = -4.316 eV per atom
data_NaNiBiS3
_chemical_formula_sum 'Na4 Ni4 Bi4 S12'
_cell_length_a 3.920
_cell_length_b 12.560
_cell_length_c 10.876
_cell_angle_alpha 90.00
_cell_angle_beta 90.00
_cell_angle_gamma 90.00
_space_group_name_H-M_alt 'C m c m'
_space_group_IT_number 63
_space_group_name_Hall '-C 2c 2'
loop_
_atom_site_label
_atom_site_type_symbol
_atom_site_fract_x
_atom_site_fract_y
_atom_site_fract_z
Na1 Na 0.000 0.249 0.250
Ni1 Ni 0.000 0.476 0.750
Bi1 Bi 0.000 0.000 0.000
S1 S 0.000 0.072 0.750
S2 S 0.000 0.359 0.587



# PBE-GGA MgCuIrSe3, relaxed
# calculated volume = 18.222 A^3/atom
# energy = -4.429 eV per atom
data_MgCuIrSe3
_chemical_formula_sum 'Mg4 Cu4 Ir4 Se12'
_cell_length_a 3.839
_cell_length_b 11.946
_cell_length_c 9.537
_cell_angle_alpha 90.00
_cell_angle_beta 90.00
_cell_angle_gamma 90.00
_space_group_name_H-M_alt 'C m c m'
_space_group_IT_number 63
_space_group_name_Hall '-C 2c 2'
loop_
_atom_site_label
_atom_site_type_symbol
_atom_site_fract_x
_atom_site_fract_y
_atom_site_fract_z
Mg1 Mg 0.000 0.244 0.250
Cu1 Cu 0.000 0.455 0.750
Ir1 Ir 0.000 0.000 0.000
Se1 Se 0.000 0.089 0.750
Se2 Se 0.000 0.360 0.533



# PBE-GGA DyEr2Mg3Pt2Au, relaxed
# calculated volume = 21.402 A^3/atom
# energy = -4.625 eV per atom
data_DyEr2Mg3Pt2Au
_chemical_formula_sum 'Dy2 Er4 Mg6 Pt4 Au2'
_cell_length_a 4.043
_cell_length_b 12.849
_cell_length_c 7.416
_cell_angle_alpha 90.00
_cell_angle_beta 90.00
_cell_angle_gamma 90.00
_space_group_name_H-M_alt 'A m m 2'
_space_group_IT_number 38
loop_
_space_group_symop_operation_xyz
'x,y,z'
'-x,-y,z'
'-x,y,z'
'x,-y,z'
'x,y+1/2,z+1/2'
'-x,-y+1/2,z+1/2'
'-x,y+1/2,z+1/2'
'x,-y+1/2,z+1/2'
loop_
_atom_site_label
_atom_site_type_symbol
_atom_site_fract_x
_atom_site_fract_y
_atom_site_fract_z
Dy1 Dy 0.000 0.000 0.000
Er1 Er 0.000 0.208 0.625
Mg1 Mg 0.500 0.000 0.668
Mg2 Mg 0.500 0.126 0.291
Pt1 Pt 0.500 0.167 0.917
Au1 Au 0.000 0.000 0.417



# PBE-GGA BeCdCoB, relaxed
# calculated volume = 10.765 A^3/atom
# energy above the lowest structure with this stoichiometry = 0.0000 eV per atom
# energy = -3.976 eV per atom
data_BeCdCoB
_chemical_formula_sum 'Be4 Cd4 Co4 B4'
_cell_length_a 5.564
_cell_length_b 5.564
_cell_length_c 5.564
_cell_angle_alpha 90.00
_cell_angle_beta 90.00
_cell_angle_gamma 90.00
_space_group_name_H-M_alt 'F -4 3 m'
_space_group_IT_number 216
_space_group_name_Hall 'F -4 2 3'
loop_
_atom_site_label
_atom_site_type_symbol
_atom_site_fract_x
_atom_site_fract_y
_atom_site_fract_z
Be1 Be 0.000 0.000 0.000
Cd1 Cd 0.250 0.250 0.250
Co1 Co 0.250 0.250 0.750
B1 B 0.000 0.000 0.500



# PBE-GGA Li4Al3Ag, relaxed
# calculated volume = 15.319 A^3/atom
# energy = -2.955 eV per atom
data_Li4Al3Ag
_chemical_formula_sum 'Li4 Al3 Ag1'
_cell_length_a 4.402
_cell_length_b 4.402
_cell_length_c 6.325
_cell_angle_alpha 90.00
_cell_angle_beta 90.00
_cell_angle_gamma 90.00
_space_group_name_H-M_alt 'P -4 m 2'
_space_group_IT_number 115
loop_
_space_group_symop_operation_xyz
'x,y,z'
'y,-x,-z'
'-x,-y,z'
'-y,x,-z'
'-x,y,z'
'-y,-x,-z'
'x,-y,z'
'y,x,-z'
loop_
_atom_site_label
_atom_site_type_symbol
_atom_site_fract_x
_atom_site_fract_y
_atom_site_fract_z
Li1 Li 0.000 0.000 0.000
Li2 Li 0.000 0.500 0.748
Li3 Li 0.500 0.500 0.500
Al1 Al 0.000 0.500 0.254
Al2 Al 0.500 0.500 0.000
Ag1 Ag 0.000 0.000 0.500



# PBE-GGA Cs2RbNbCl6, relaxed
# calculated volume = 34.533 A^3/atom
# energy = -4.042 eV per atom
data_Cs2RbNbCl6
_chemical_formula_sum 'Cs8 Rb4 Nb4 Cl24'
_cell_length_a 11.137
_cell_length_b 11.137
_cell_length_c 11.137
_cell_angle_alpha 90.00
_cell_angle_beta 90.00
_cell_angle_gamma 90.00
_space_group_name_H-M_alt 'F m -3 m'
_space_group_IT_number 225
_space_group_name_Hall '-F 4 2 3'
loop_
_atom_site_label
_atom_site_type_symbol
_atom_site_fract_x
_atom_site_fract_y
_atom_site_fract_z
Cs1 Cs 0.250 0.250 0.250
Rb1 Rb 0.000 0.000 0.000
Nb1 Nb 0.000 0.000 0.500
Cl1 Cl 0.000 0.000 0.276



# PBE-GGA Lu2ZrAl, relaxed
# calculated volume = 23.384 A^3/atom
# energy = -5.361 eV per atom
data_Lu2ZrAl
_chemical_formula_sum 'Lu8 Zr4 Al4'
_cell_length_a 7.206
_cell_length_b 7.206
_cell_length_c 7.206
_cell_angle_alpha 90.00
_cell_angle_beta 90.00
_cell_angle_gamma 90.00
_space_group_name_H-M_alt 'F -4 3 m'
_space_group_IT_number 216
_space_group_name_Hall 'F -4 2 3'
loop_
_atom_site_label
_atom_site_type_symbol
_atom_site_fract_x
_atom_site_fract_y
_atom_site_fract_z
Lu1 Lu 0.000 0.000 0.000
Lu2 Lu 0.250 0.250 0.250
Zr1 Zr 0.250 0.250 0.750
Al1 Al 0.000 0.000 0.500



Among the records above, which one has the lowest calculated volume? BeCdCoB